Density functional theory data (GGA-PBE) for crystalline SbPtBr2 at its relaxed geometry.

The structure belongs to space group P4/mmm (No. 123); the cell edges are 5.092, 5.092 and 3.513 Å and the angles 90.00°, 90.00° and 90.00°. The inequivalent atoms are Sb at (0.000, 0.000, 0.000), Pt at (0.500, 0.500, 0.000) and Br at (0.000, 0.500, 0.500).

The formation energy from raw total energies comes out at 610.3 meV per atom. The calculation puts the calculated volume at 91.1 Å³ per cell. Its relative energy among the computed polymorphs is 3.96 eV/f.u.